Record 1
The following is a DFT calculation (PBE) of a relaxed structure of YV2InRe.

Structure (POSCAR):
```
YV2InRe
1.0
-2.087 -0.520 -4.214
-3.878 -2.907 2.280
-2.508 3.939 0.756
Re V In Y
1 2 1 1
direct
0.500 0.500 0.500
0.000 0.000 0.500
0.500 0.000 0.000
0.000 0.000 0.000
0.000 0.500 0.000
```

Computed properties:
The formation energy comes out at 2.12 eV per atom. As for the crystal system: tetragonal. The density of states at the Fermi level is 11.29 states/eV/f.u.

Record 2
The following is a DFT calculation (PBE) of a relaxed structure of Li2GdZn.

Structure (POSCAR):
```
Li2GdZn
1.0
-2.593 1.033 1.489
-2.114 -2.072 1.116
3.509 -0.650 9.925
Zn Li Gd
1 2 1
direct
0.500 0.500 0.500
0.901 0.901 0.298
0.099 0.099 0.702
0.000 0.000 0.000
```

Computed properties:
The formation energy comes out at 0.17 eV per atom. As for the crystal system: trigonal. The value obtained for the offset from the most stable computed form is 177 meV/atom. The density of states at the Fermi level is 2.64 states/eV/f.u.

Record 3
The following is a DFT calculation (PBE) of a relaxed structure of SmTc4P3.

Structure (POSCAR):
```
SmTc4P3
1.0
4.072 0.000 0.000
0.000 4.072 0.000
0.000 0.000 7.751
Tc P Sm
4 3 1
direct
0.000 0.500 0.825
0.000 0.500 0.175
0.500 0.000 0.175
0.500 0.000 0.825
0.500 0.500 0.668
0.500 0.500 0.332
0.000 0.000 0.000
0.000 0.000 0.500
```

Computed properties:
The formation energy comes out at -0.58 eV per atom. As for the crystal system: tetragonal. The density of states at the Fermi level is 9.69 states/eV/f.u.

Record 4
The following is a DFT calculation (PBE) of a relaxed structure of PrAl4IrAu2.

Structure (POSCAR):
```
PrAl4IrAu2
1.0
4.364 0.000 0.000
2.182 3.779 0.000
2.182 1.260 9.235
Al Ir Au Pr
4 1 2 1
direct
0.862 0.862 0.414
0.409 0.409 0.774
0.591 0.591 0.226
0.138 0.138 0.586
0.500 0.500 0.500
0.252 0.252 0.243
0.748 0.748 0.757
0.000 0.000 0.000
```

Computed properties:
The formation energy comes out at -0.59 eV per atom. As for the crystal system: trigonal. The density of states at the Fermi level is 3.71 states/eV/f.u.

Record 5
The following is a DFT calculation (PBE) of a relaxed structure of La3Zr.

Structure (POSCAR):
```
La3Zr
1.0
6.178 -0.001 0.000
-2.089 5.814 0.000
0.000 0.000 3.557
La Zr
3 1
direct
0.500 0.000 0.500
0.000 0.000 0.000
0.000 0.500 0.500
0.500 0.500 0.000
```

Computed properties:
The formation energy comes out at 0.15 eV per atom. As for the crystal system: orthorhombic. The density of states at the Fermi level is 6.54 states/eV/f.u.

Record 6
The following is a DFT calculation (PBE) of a relaxed structure of GaHI.

Structure (POSCAR):
```
GaHI
1.0
-2.322 -1.429 4.159
-2.139 -5.203 -4.358
3.576 -4.409 -1.067
I Ga H
2 2 2
direct
0.438 0.711 0.089
0.904 0.288 0.854
0.582 0.055 0.648
0.997 0.838 0.375
0.311 0.166 0.469
0.777 0.958 0.553
```

Computed properties:
As for the crystal system: triclinic. The value obtained for the offset from the most stable computed form is 0 meV/atom. The density of states at the Fermi level is 0.00 states/eV/f.u.

Record 7
The following is a DFT calculation (PBE) of a relaxed structure of CsKIn2Ir.

Structure (POSCAR):
```
CsKIn2Ir
1.0
5.266 0.000 0.000
0.000 5.266 0.000
0.000 0.000 6.298
Ir In K Cs
1 2 1 1
direct
0.000 0.000 0.000
0.000 0.500 0.000
0.500 0.000 0.000
0.000 0.000 0.500
0.500 0.500 0.500
```

Computed properties:
The formation energy comes out at -0.02 eV per atom. As for the crystal system: tetragonal. The density of states at the Fermi level is 1.77 states/eV/f.u.

Record 8
The following is a DFT calculation (PBE) of a relaxed structure of NaCrAgTe3.

Structure (POSCAR):
```
NaCrAgTe3
1.0
-3.991 0.251 -0.251
-0.442 -8.343 -1.334
-0.526 1.377 9.734
Ag Te Na Cr
2 6 2 2
direct
0.750 0.937 0.394
0.250 0.063 0.606
0.750 0.447 0.139
0.750 0.875 0.104
0.750 0.283 0.557
0.250 0.125 0.896
0.250 0.717 0.443
0.250 0.553 0.861
0.250 0.204 0.270
0.750 0.796 0.730
0.250 0.676 0.155
0.750 0.324 0.845
```

Computed properties:
As for the crystal system: monoclinic. The uncorrected formation energy is -189 kJ/mol of formula units. The density of states at the Fermi level is 2.29 states/eV/f.u.